[1]
A plane-wave DFT calculation with PBE was carried out for an optimized crystal structure of Ag8PbSe6.

Computed properties:
symmetry = No. 148
E = -48.38 eV/cell

Cell lengths 8.6888, 8.6888, 8.6888 Å; angles 51.03, 51.03, 51.03 degrees
Last column: nearest neighbours and their distance in Å.
Fractional coordinates of all 15 atoms:
Ag  0.0824  0.0824  0.0824  3 Se 2.64
Ag  0.1349  0.3223  0.6175  3 Se 2.64-2.82, 3 Ag 2.86-2.96
Ag  0.3223  0.6175  0.1349  3 Se 2.64-2.82, 3 Ag 2.86-2.96
Ag  0.3825  0.8651  0.6777  3 Se 2.64-2.82, 3 Ag 2.86-2.96
Ag  0.6175  0.1349  0.3223  3 Se 2.64-2.82, 3 Ag 2.86-2.96
Ag  0.6777  0.3825  0.8651  3 Se 2.64-2.82, 3 Ag 2.86-2.96
Ag  0.8651  0.6777  0.3825  3 Se 2.64-2.82, 3 Ag 2.86-2.96
Ag  0.9176  0.9176  0.9176  3 Se 2.64
Pb  0.5000  0.5000  0.5000  6 Se 3.05
Se  0.0736  0.7501  0.4528  4 Ag 2.64-2.82
Se  0.2499  0.5472  0.9264  4 Ag 2.64-2.82
Se  0.4528  0.0736  0.7501  4 Ag 2.64-2.82
Se  0.5472  0.9264  0.2499  4 Ag 2.64-2.82
Se  0.7501  0.4528  0.0736  4 Ag 2.64-2.82
Se  0.9264  0.2499  0.5472  4 Ag 2.64-2.82

[2]
A plane-wave DFT calculation with PBE was carried out for an optimized crystal structure of AgPbSe3.

Computed properties:
symmetry = No. 221
E = -15.99 eV/cell

Cell lengths 5.1135, 5.1135, 5.1135 Å; angles 90.00, 90.00, 90.00 degrees
Last column: nearest neighbours and their distance in Å.
Fractional coordinates of all 5 atoms:
Ag  0.0000  0.0000  0.0000  6 Se 2.56
Pb  0.5000  0.5000  0.5000  12 Se 3.62
Se  0.0000  0.0000  0.5000  2 Ag 2.56
Se  0.0000  0.5000  0.0000  2 Ag 2.56
Se  0.5000  0.0000  0.0000  2 Ag 2.56

[3]
A plane-wave DFT calculation with PBE was carried out for an optimized crystal structure of AgPb2Se.

Computed properties:
symmetry = No. 8
E = -28.52 eV/cell

Cell lengths 11.9189, 4.1070, 4.5226 Å; angles 90.00, 99.92, 90.00 degrees
Last column: nearest neighbours and their distance in Å.
Fractional coordinates of all 8 atoms:
Ag  0.0000  0.0000  0.0000  1 Se 2.85, 5 Pb 2.97-3.09
Ag  0.5000  0.5000  0.0000  1 Se 2.85, 5 Pb 2.97-3.09
Pb  0.0351  0.5000  0.5134  1 Se 2.93, 4 Ag 3.07-3.09
Pb  0.2530  0.0000  0.0929  1 Ag 2.97, 4 Se 3.05-3.10
Pb  0.5351  0.0000  0.5134  1 Se 2.93, 4 Ag 3.07-3.09
Pb  0.7530  0.5000  0.0929  1 Ag 2.97, 4 Se 3.05-3.10
Se  0.2842  0.5000  0.6151  1 Ag 2.85, 5 Pb 2.93-3.10
Se  0.7842  0.0000  0.6151  1 Ag 2.85, 5 Pb 2.93-3.10

[4]
A plane-wave DFT calculation with PBE was carried out for an optimized crystal structure of AgPb2Se.

Computed properties:
symmetry = No. 65
E = -27.90 eV/cell

Cell lengths 6.9962, 7.8521, 3.7609 Å; angles 90.00, 90.00, 90.00 degrees
Last column: nearest neighbours and their distance in Å.
Fractional coordinates of all 8 atoms:
Ag  0.0000  0.0000  0.0000  8 Pb 3.23, 2 Se 3.50
Ag  0.5000  0.5000  0.0000  8 Pb 3.23, 2 Se 3.50
Pb  0.2500  0.2500  0.5000  4 Se 3.23, 4 Ag 3.23, 2 Pb 3.50
Pb  0.2500  0.7500  0.5000  4 Se 3.23, 4 Ag 3.23, 2 Pb 3.50
Pb  0.7500  0.2500  0.5000  4 Se 3.23, 4 Ag 3.23, 2 Pb 3.50
Pb  0.7500  0.7500  0.5000  4 Se 3.23, 4 Ag 3.23, 2 Pb 3.50
Se  0.0000  0.5000  0.0000  8 Pb 3.23, 2 Ag 3.50
Se  0.5000  0.0000  0.0000  8 Pb 3.23, 2 Ag 3.50

[5]
A plane-wave DFT calculation with PBE was carried out for an optimized crystal structure of AgPb2Se.

Computed properties:
symmetry = No. 47
E = -13.94 eV/cell

Cell lengths 3.7580, 3.7706, 7.2495 Å; angles 90.00, 90.00, 90.00 degrees
Last column: nearest neighbours and their distance in Å.
Fractional coordinates of all 4 atoms:
Ag  0.0000  0.0000  0.0000  8 Pb 3.21
Pb  0.5000  0.5000  0.2469  4 Ag 3.21, 4 Se 3.23, 1 Pb 3.58
Pb  0.5000  0.5000  0.7531  4 Ag 3.21, 4 Se 3.23, 1 Pb 3.58
Se  0.0000  0.0000  0.5000  8 Pb 3.23

[6]
A plane-wave DFT calculation with PBE was carried out for an optimized crystal structure of AgPb2Se.

Computed properties:
symmetry = No. 216
E = -52.69 eV/cell

Cell lengths 7.4659, 7.4659, 7.4659 Å; angles 90.00, 90.00, 90.00 degrees
Last column: nearest neighbours and their distance in Å.
Fractional coordinates of all 16 atoms:
Ag  0.0000  0.0000  0.0000  4 Pb 3.23, 4 Se 3.23
Ag  0.0000  0.5000  0.5000  4 Pb 3.23, 4 Se 3.23
Ag  0.5000  0.0000  0.5000  4 Pb 3.23, 4 Se 3.23
Ag  0.5000  0.5000  0.0000  4 Pb 3.23, 4 Se 3.23
Pb  0.0000  0.0000  0.5000  4 Se 3.23, 4 Pb 3.23
Pb  0.0000  0.5000  0.0000  4 Se 3.23, 4 Pb 3.23
Pb  0.2500  0.2500  0.2500  4 Pb 3.23, 4 Ag 3.23
Pb  0.2500  0.7500  0.7500  4 Pb 3.23, 4 Ag 3.23
Pb  0.5000  0.0000  0.0000  4 Se 3.23, 4 Pb 3.23
Pb  0.5000  0.5000  0.5000  4 Se 3.23, 4 Pb 3.23
Pb  0.7500  0.2500  0.7500  4 Pb 3.23, 4 Ag 3.23
Pb  0.7500  0.7500  0.2500  4 Pb 3.23, 4 Ag 3.23
Se  0.2500  0.2500  0.7500  4 Pb 3.23, 4 Ag 3.23
Se  0.2500  0.7500  0.2500  4 Pb 3.23, 4 Ag 3.23
Se  0.7500  0.2500  0.2500  4 Pb 3.23, 4 Ag 3.23
Se  0.7500  0.7500  0.7500  4 Pb 3.23, 4 Ag 3.23

[7]
A plane-wave DFT calculation with PBE was carried out for an optimized crystal structure of AgPb4Se.

Computed properties:
symmetry = No. 216
E = -19.05 eV/cell

Cell lengths 6.3899, 6.3899, 6.3899 Å; angles 60.00, 60.00, 60.00 degrees
Last column: nearest neighbours and their distance in Å.
Fractional coordinates of all 6 atoms:
Ag  0.0000  0.0000  0.0000  12 Pb 3.75, 4 Se 3.91
Pb  0.1236  0.6255  0.6255  6 Pb 3.18-3.21
Pb  0.6255  0.1236  0.6255  6 Pb 3.18-3.21
Pb  0.6255  0.6255  0.1236  6 Pb 3.18-3.21
Pb  0.6255  0.6255  0.6255  6 Pb 3.18-3.21
Se  0.2500  0.2500  0.2500  12 Pb 3.75, 4 Ag 3.91

[8]
A plane-wave DFT calculation with PBE was carried out for an optimized crystal structure of AgPb3Se.

Computed properties:
symmetry = No. 221
E = -15.49 eV/cell

Cell lengths 5.6882, 5.6882, 5.6882 Å; angles 90.00, 90.00, 90.00 degrees
Last column: nearest neighbours and their distance in Å.
Fractional coordinates of all 5 atoms:
Ag  0.0000  0.0000  0.0000  12 Pb 4.02
Pb  0.0000  0.5000  0.5000  2 Se 2.84
Pb  0.5000  0.0000  0.5000  2 Se 2.84
Pb  0.5000  0.5000  0.0000  2 Se 2.84
Se  0.5000  0.5000  0.5000  6 Pb 2.84

> Which value of E does entry 6 give?

-52.69 eV/cell

What did the fourth record say?
A plane-wave DFT calculation with PBE was carried out for an optimized crystal structure of AgPb2Se.

Computed properties:
symmetry = No. 65
E = -27.90 eV/cell

Cell lengths 6.9962, 7.8521, 3.7609 Å; angles 90.00, 90.00, 90.00 degrees
Last column: nearest neighbours and their distance in Å.
Fractional coordinates of all 8 atoms:
Ag  0.0000  0.0000  0.0000  8 Pb 3.23, 2 Se 3.50
Ag  0.5000  0.5000  0.0000  8 Pb 3.23, 2 Se 3.50
Pb  0.2500  0.2500  0.5000  4 Se 3.23, 4 Ag 3.23, 2 Pb 3.50
Pb  0.2500  0.7500  0.5000  4 Se 3.23, 4 Ag 3.23, 2 Pb 3.50
Pb  0.7500  0.2500  0.5000  4 Se 3.23, 4 Ag 3.23, 2 Pb 3.50
Pb  0.7500  0.7500  0.5000  4 Se 3.23, 4 Ag 3.23, 2 Pb 3.50
Se  0.0000  0.5000  0.0000  8 Pb 3.23, 2 Ag 3.50
Se  0.5000  0.0000  0.0000  8 Pb 3.23, 2 Ag 3.50

> The highest E belongs to which entry?

number 5

> Among the records above, which one has the highest E?

number 5